This record from Alexandria via LeMat-Bulk describes a relaxed ZnCrGaNi crystal. The functional is PBE.

The magnetization is 12.47 μB per cell. The calculated total energy comes out at -5.019 eV per atom.

The structure belongs to space group F-43m (No. 216); the cell edges are 5.9577, 5.9577 and 5.9577 Å and the angles 90.00°, 90.00° and 90.00°. The asymmetric unit holds Zn at (0.0000, 0.0000, 0.0000), Cr at (0.2500, 0.2500, 0.7500), Ga at (0.0000, 0.0000, 0.5000) and Ni at (0.2500, 0.2500, 0.2500).